Compound: SrLa2Br
Source: the Alexandria database
Functional: GGA-PBEsol
Structure: relaxed

The structure in CIF format:
```
data_SrLa2Br
_space_group_name_H-M_alt 'I 4/m m m'
_space_group_IT_number 139
_space_group_name_Hall '-I 4 2'
_cell_length_a 4.5093
_cell_length_b 4.5093
_cell_length_c 14.2045
_cell_angle_alpha 90.00
_cell_angle_beta 90.00
_cell_angle_gamma 90.00
loop_
_atom_site_label
_atom_site_fract_x
_atom_site_fract_y
_atom_site_fract_z
_atom_site_occupancy
Sr1 0.0000 0.0000 0.0000 1
La1 0.0000 0.5000 0.2500 1
Br1 0.0000 0.0000 0.5000 1
```

Results
Electronic total energy in eV per atom: -3.8579
Calculated volume in Å³ per cell: 289
Uncorrected formation energy in eV per atom: -0.257
Total moment in Bohr magnetons per cell: 0.00
ΔE to the lowest computed polymorph in eV per atom: 0.091
DOS at the Fermi energy in states/eV/cell: 12.0

***

Compound: SrLaBr
Source: the Alexandria database
Functional: GGA-PBEsol
Structure: relaxed

The structure in CIF format:
```
data_SrLaBr
_space_group_name_H-M_alt 'F -4 3 m'
_space_group_IT_number 216
_space_group_name_Hall 'F -4 2 3'
_cell_length_a 7.3395
_cell_length_b 7.3395
_cell_length_c 7.3395
_cell_angle_alpha 90.00
_cell_angle_beta 90.00
_cell_angle_gamma 90.00
loop_
_atom_site_label
_atom_site_fract_x
_atom_site_fract_y
_atom_site_fract_z
_atom_site_occupancy
Sr1 0.0000 0.0000 0.0000 1
La1 0.0000 0.0000 0.5000 1
Br1 0.2500 0.2500 0.7500 1
```

Results
Electronic total energy in eV per atom: -3.4787
Calculated volume in Å³ per cell: 395
Uncorrected formation energy in eV per atom: -0.460
Total moment in Bohr magnetons per cell: 3.81
ΔE to the lowest computed polymorph in eV per atom: 0.330
DOS at the Fermi energy in states/eV/cell: 15.2

***

Compound: SrLa2TiBr
Source: the Alexandria database
Functional: GGA-PBEsol
Structure: relaxed

The structure in CIF format:
```
data_SrLa2TiBr
_space_group_name_H-M_alt 'P 4/m m m'
_space_group_IT_number 123
_space_group_name_Hall '-P 4 2'
_cell_length_a 5.6331
_cell_length_b 5.6331
_cell_length_c 5.6013
_cell_angle_alpha 90.00
_cell_angle_beta 90.00
_cell_angle_gamma 90.00
loop_
_atom_site_label
_atom_site_fract_x
_atom_site_fract_y
_atom_site_fract_z
_atom_site_occupancy
Sr1 0.0000 0.0000 0.0000 1
La1 0.0000 0.5000 0.5000 1
Ti1 0.5000 0.5000 0.0000 1
Br1 0.0000 0.0000 0.5000 1
```

Results
Electronic total energy in eV per atom: -4.4129
Calculated volume in Å³ per cell: 178
Uncorrected formation energy in eV per atom: 0.132
Total moment in Bohr magnetons per cell: 2.41
DOS at the Fermi energy in states/eV/cell: 9.4

***

Compound: LaTaBr2
Source: the Alexandria database
Functional: GGA-PBEsol
Structure: relaxed

The structure in CIF format:
```
data_LaTaBr2
_space_group_name_H-M_alt 'P m m m'
_space_group_IT_number 47
_cell_length_a 3.2660
_cell_length_b 4.8213
_cell_length_c 6.0436
_cell_angle_alpha 90.00
_cell_angle_beta 90.00
_cell_angle_gamma 90.00
loop_
_space_group_symop_operation_xyz
'x,y,z'
'-x,-y,-z'
'-x,-y,z'
'x,y,-z'
'x,-y,-z'
'-x,y,z'
'-x,y,-z'
'x,-y,z'
loop_
_atom_site_label
_atom_site_fract_x
_atom_site_fract_y
_atom_site_fract_z
_atom_site_occupancy
La1 0.0000 0.0000 0.0000 1
Ta1 0.5000 0.0000 0.5000 1
Br1 0.0000 0.5000 0.5000 1
Br2 0.5000 0.5000 0.0000 1
```

Results
Electronic total energy in eV per atom: -5.5447
Calculated volume in Å³ per cell: 95
Uncorrected formation energy in eV per atom: -0.135
Total moment in Bohr magnetons per cell: 0.00
DOS at the Fermi energy in states/eV/cell: 3.9

***

Compound: LaTcBr3
Source: the Alexandria database
Functional: GGA-PBEsol
Structure: relaxed

The structure in CIF format:
```
data_LaTcBr3
_space_group_name_H-M_alt 'P m -3 m'
_space_group_IT_number 221
_space_group_name_Hall '-P 4 2 3'
_cell_length_a 5.7664
_cell_length_b 5.7664
_cell_length_c 5.7664
_cell_angle_alpha 90.00
_cell_angle_beta 90.00
_cell_angle_gamma 90.00
loop_
_atom_site_label
_atom_site_fract_x
_atom_site_fract_y
_atom_site_fract_z
_atom_site_occupancy
La1 0.0000 0.0000 0.0000 1
Tc1 0.5000 0.5000 0.5000 1
Br1 0.0000 0.0000 0.5000 1
```

Results
Electronic total energy in eV per atom: -4.4693
Calculated volume in Å³ per cell: 192
Uncorrected formation energy in eV per atom: -0.025
Total moment in Bohr magnetons per cell: 4.99
DOS at the Fermi energy in states/eV/cell: 6.5

***

Compound: LaTc2Br
Source: the Alexandria database
Functional: GGA-PBEsol
Structure: relaxed

The structure in CIF format:
```
data_LaTc2Br
_space_group_name_H-M_alt 'F m -3 m'
_space_group_IT_number 225
_space_group_name_Hall '-F 4 2 3'
_cell_length_a 6.5919
_cell_length_b 6.5919
_cell_length_c 6.5919
_cell_angle_alpha 90.00
_cell_angle_beta 90.00
_cell_angle_gamma 90.00
loop_
_atom_site_label
_atom_site_fract_x
_atom_site_fract_y
_atom_site_fract_z
_atom_site_occupancy
La1 0.0000 0.0000 0.0000 1
Tc1 0.2500 0.2500 0.2500 1
Br1 0.0000 0.0000 0.5000 1
```

Results
Electronic total energy in eV per atom: -6.5752
Calculated volume in Å³ per cell: 286
Uncorrected formation energy in eV per atom: 0.862
Total moment in Bohr magnetons per cell: 0.01
DOS at the Fermi energy in states/eV/cell: 20.7